1.
YCl2F2 PBE relaxed; energy relative to the lowest polymorph listed for this composition = 0.0 meV/atom; E_form (uncorrected) = -1.595 eV per atom; total moment = 2.0 μB/cell; density of states at the Fermi level = 9.123 states/eV/cell
1.0
6.786 0.000 0.000
0.000 6.786 0.000
0.000 0.000 4.535
Y Cl F
2 4 4
direct
0.000 0.000 0.000
0.500 0.500 0.000
0.150 0.350 0.000
0.350 0.850 0.000
0.650 0.150 0.000
0.850 0.650 0.000
0.211 0.711 0.500
0.289 0.211 0.500
0.711 0.789 0.500
0.789 0.289 0.500

2.
LaYTlCu PBE relaxed; total moment = 0.0 μB/cell; density of states at the Fermi level = 14.692 states/eV/cell; energy of formation = -5.43 kcal/mol of atoms
1.0
7.546 0.000 0.000
0.000 7.546 0.000
0.000 0.000 7.546
La Y Tl Cu
4 4 4 4
direct
0.000 0.000 0.000
0.000 0.500 0.500
0.500 0.000 0.500
0.500 0.500 0.000
0.000 0.000 0.500
0.000 0.500 0.000
0.500 0.000 0.000
0.500 0.500 0.500
0.250 0.250 0.750
0.250 0.750 0.250
0.750 0.250 0.250
0.750 0.750 0.750
0.250 0.250 0.250
0.250 0.750 0.750
0.750 0.250 0.750
0.750 0.750 0.250

3.
AcMgN PBE relaxed; energy relative to the lowest polymorph listed for this composition = 0.0 meV/atom; E_form (uncorrected) = -0.640 eV per atom; total moment = 0.0 μB/cell; density of states at the Fermi level = 1.995 states/eV/cell
1.0
4.084 0.000 0.000
0.000 5.587 0.000
0.000 0.000 6.700
Ac Mg N
2 2 2
direct
0.250 0.250 0.119
0.750 0.750 0.881
0.250 0.750 0.403
0.750 0.250 0.597
0.250 0.750 0.090
0.750 0.250 0.910

4.
Hg2PdS PBE relaxed; E_form (uncorrected) = 0.450 eV per atom; total moment = 0.0 μB/cell; density of states at the Fermi level = 8.303 states/eV/cell
1.0
3.013 0.000 0.000
-1.507 2.609 0.000
0.000 0.000 31.569
Hg Pd S
6 3 3
direct
0.000 0.000 0.085
0.000 0.000 0.915
0.333 0.667 0.582
0.333 0.667 0.752
0.667 0.333 0.248
0.667 0.333 0.418
0.000 0.000 0.000
0.333 0.667 0.667
0.667 0.333 0.333
0.000 0.000 0.500
0.333 0.667 0.167
0.667 0.333 0.833

5.
Ac2PbCl PBE relaxed; energy relative to the lowest polymorph listed for this composition = 62.4 meV/atom; E_form (uncorrected) = -0.972 eV per atom; total moment = 0.0 μB/cell; density of states at the Fermi level = 9.031 states/eV/cell
1.0
8.061 0.000 0.000
0.000 8.061 0.000
0.000 0.000 8.061
Ac Pb Cl
8 4 4
direct
0.250 0.250 0.250
0.250 0.250 0.750
0.250 0.750 0.250
0.250 0.750 0.750
0.750 0.250 0.250
0.750 0.250 0.750
0.750 0.750 0.250
0.750 0.750 0.750
0.000 0.000 0.000
0.000 0.500 0.500
0.500 0.000 0.500
0.500 0.500 0.000
0.000 0.000 0.500
0.000 0.500 0.000
0.500 0.000 0.000
0.500 0.500 0.500

6.
Sr4AsBr5 PBE relaxed; E_form (uncorrected) = -1.921 eV per atom; total moment = 0.0 μB/cell; density of states at the Fermi level = 0.000 states/eV/cell
1.0
9.757 -2.276 0.000
9.757 2.276 0.000
-2.514 0.000 8.498
Sr As Br
4 1 5
direct
0.001 0.001 0.239
0.336 0.336 0.886
0.664 0.664 0.114
0.999 0.999 0.761
0.500 0.500 0.000
0.167 0.167 0.345
0.169 0.169 0.869
0.500 0.500 0.500
0.831 0.831 0.131
0.833 0.833 0.655

7.
TmPuAgPd PBE relaxed; total moment = 22.9 μB/cell; density of states at the Fermi level = 47.974 states/eV/cell; energy of formation = -7.62 kcal/mol of atoms
1.0
7.136 0.000 0.000
0.000 7.136 0.000
0.000 0.000 7.136
Tm Pu Ag Pd
4 4 4 4
direct
0.000 0.000 0.000
0.000 0.500 0.500
0.500 0.000 0.500
0.500 0.500 0.000
0.000 0.000 0.500
0.000 0.500 0.000
0.500 0.000 0.000
0.500 0.500 0.500
0.250 0.250 0.750
0.250 0.750 0.250
0.750 0.250 0.250
0.750 0.750 0.750
0.250 0.250 0.250
0.250 0.750 0.750
0.750 0.250 0.750
0.750 0.750 0.250

8.
TbLuPdAu PBE relaxed; total moment = 0.0 μB/cell; density of states at the Fermi level = 13.599 states/eV/cell; energy of formation = -20.33 kcal/mol of atoms
1.0
7.056 0.000 0.000
0.000 7.056 0.000
0.000 0.000 7.056
Tb Lu Pd Au
4 4 4 4
direct
0.000 0.000 0.000
0.000 0.500 0.500
0.500 0.000 0.500
0.500 0.500 0.000
0.000 0.000 0.500
0.000 0.500 0.000
0.500 0.000 0.000
0.500 0.500 0.500
0.250 0.250 0.250
0.250 0.750 0.750
0.750 0.250 0.750
0.750 0.750 0.250
0.250 0.250 0.750
0.250 0.750 0.250
0.750 0.250 0.250
0.750 0.750 0.750

9.
CsMgSe2Br PBE relaxed; energy relative to the lowest polymorph listed for this composition = 0.0 meV/atom; E_form (uncorrected) = -0.809 eV per atom; total moment = 1.1 μB/cell; density of states at the Fermi level = 6.004 states/eV/cell
1.0
5.202 0.000 0.000
0.000 5.202 0.000
0.000 0.000 5.894
Cs Mg Se Br
1 1 2 1
direct
0.000 0.000 0.000
0.500 0.500 0.500
0.000 0.500 0.500
0.500 0.000 0.500
0.500 0.500 0.000

10.
RbH3Se2O6 PBE relaxed; total moment = 0.0 μB/cell; density of states at the Fermi level = 0.000 states/eV/cell; E_tot = -5.044 eV per atom
1.0
6.060 0.000 0.000
0.000 6.510 0.000
0.000 0.000 18.229
Rb H Se O
4 12 8 24
direct
0.020 0.015 0.337
0.480 0.985 0.837
0.520 0.485 0.663
0.980 0.515 0.163
0.026 0.251 0.718
0.153 0.033 0.136
0.230 0.709 0.513
0.270 0.291 0.013
0.347 0.967 0.636
0.474 0.749 0.218
0.526 0.249 0.282
0.653 0.467 0.864
0.730 0.791 0.487
0.770 0.209 0.987
0.847 0.533 0.364
0.974 0.751 0.782
0.019 0.925 0.995
0.039 0.452 0.853
0.461 0.548 0.353
0.481 0.075 0.495
0.519 0.575 0.005
0.539 0.048 0.147
0.961 0.952 0.647
0.981 0.425 0.505
0.020 0.442 0.412
0.059 0.718 0.829
0.169 0.326 0.785
0.211 0.570 0.540
0.239 0.908 0.676
0.240 0.076 0.977
0.260 0.924 0.477
0.261 0.092 0.176
0.289 0.430 0.040
0.331 0.674 0.285
0.441 0.282 0.329
0.480 0.558 0.912
0.520 0.058 0.588
0.559 0.782 0.171
0.669 0.174 0.215
0.711 0.930 0.460
0.739 0.592 0.324
0.740 0.424 0.023
0.760 0.576 0.523
0.761 0.408 0.824
0.789 0.070 0.960
0.831 0.826 0.715
0.941 0.218 0.671
0.980 0.942 0.088

11.
Sc3BO PBE relaxed; energy relative to the lowest polymorph listed for this composition = 0.0 meV/atom; E_form (uncorrected) = -1.040 eV per atom; total moment = 0.0 μB/cell; density of states at the Fermi level = 2.808 states/eV/cell
1.0
4.213 0.000 0.000
0.000 4.213 0.000
0.000 0.000 4.213
Sc B O
3 1 1
direct
0.000 0.000 0.500
0.000 0.500 0.000
0.500 0.000 0.000
0.500 0.500 0.500
0.000 0.000 0.000

12.
ZnGaSn2Os PBE relaxed; total moment = 0.5 μB/cell; density of states at the Fermi level = 4.068 states/eV/cell; energy of formation = 25.58 kcal/mol of atoms
1.0
5.253 0.000 0.000
0.000 5.253 0.000
0.000 0.000 4.655
Zn Ga Sn Os
1 1 2 1
direct
0.000 0.000 0.000
0.500 0.500 0.500
0.000 0.500 0.500
0.500 0.000 0.500
0.500 0.500 0.000